{
  "formula": "La3N2Cl3",
  "functional": "PBE",
  "state": "optimized geometry",
  "space_group": "Cmcm, No. 63",
  "energy_ev_per_atom": -6.5827,
  "raw_formation_energy_mev_per_atom": -1961,
  "lattice": [[-3.690, -1.252, -0.932], [2.196, -4.159, 5.507], [-5.239, 8.889, 8.801]],
  "species": ["N", "Cl", "La", "N", "Cl", "La", "N", "La", "La", "Cl", "Cl", "Cl", "N", "La", "Cl", "La"],
  "fractional_positions": [[0.766, 0.531, 0.587], [0.060, 0.120, 0.880], [0.650, 0.300, 0.463], [0.766, 0.531, 0.913], [0.060, 0.120, 0.620], [0.650, 0.300, 0.037], [0.234, 0.469, 0.087], [0.294, 0.588, 0.250], [0.350, 0.700, 0.963], [0.940, 0.880, 0.380], [0.643, 0.285, 0.250], [0.357, 0.715, 0.750], [0.234, 0.469, 0.413], [0.350, 0.700, 0.537], [0.940, 0.880, 0.120], [0.706, 0.412, 0.750]]
}